(1)
Material: Er3Tm2Cd3
Method: DFT, GGA-PBE
State: optimized geometry

a = 11.4250 Å, b = 11.4250 Å, c = 11.4250 Å
α = 161.38°, β = 153.26°, γ = 32.79°
Fractional coordinates of all 8 atoms:
Er (0.0000, 0.0000, 0.0000)
Er (0.3760, 0.8760, 0.5000)
Er (0.6240, 0.1240, 0.5000)
Tm (0.2340, 0.2340, 0.0000)
Tm (0.7660, 0.7660, 0.0000)
Cd (0.1176, 0.6176, 0.5000)
Cd (0.5000, 0.5000, 0.0000)
Cd (0.8824, 0.3824, 0.5000)

formation enthalpy at 0 K = -0.23 eV/atom
crystal system = orthorhombic

(2)
Material: Tb2TaSi2Ru5
Method: DFT, GGA-PBE
State: optimized geometry

a = 10.0913 Å, b = 10.0913 Å, c = 3.2324 Å
α = 90.00°, β = 90.00°, γ = 90.00°
Fractional coordinates of all 20 atoms:
Tb (0.1735, 0.3265, 0.0000)
Tb (0.3265, 0.8265, 0.0000)
Tb (0.6735, 0.1735, 0.0000)
Tb (0.8265, 0.6735, 0.0000)
Ta (0.0000, 0.0000, 0.0000)
Ta (0.5000, 0.5000, 0.0000)
Si (0.1258, 0.6258, 0.0000)
Si (0.3742, 0.1258, 0.0000)
Si (0.6258, 0.8742, 0.0000)
Si (0.8742, 0.3742, 0.0000)
Ru (0.0000, 0.5000, 0.5000)
Ru (0.0672, 0.7919, 0.5000)
Ru (0.2081, 0.0672, 0.5000)
Ru (0.2919, 0.5672, 0.5000)
Ru (0.4328, 0.2919, 0.5000)
Ru (0.5000, 0.0000, 0.5000)
Ru (0.5672, 0.7081, 0.5000)
Ru (0.7081, 0.4328, 0.5000)
Ru (0.7919, 0.9328, 0.5000)
Ru (0.9328, 0.2081, 0.5000)

raw formation energy = -0.67 eV/atom
crystal system = tetragonal

(3)
Material: CaMgRe2
Method: DFT, GGA-PBE
State: optimized geometry

a = 5.5009 Å, b = 5.5009 Å, c = 5.5009 Å
α = 138.68°, β = 138.68°, γ = 59.86°
Fractional coordinates of all 4 atoms:
Ca (0.0000, 0.0000, 0.0000)
Mg (0.5000, 0.5000, 0.0000)
Re (0.2500, 0.7500, 0.5000)
Re (0.7500, 0.2500, 0.5000)

formation enthalpy at 0 K = 0.67 eV/atom
crystal system = tetragonal

(4)
Material: Sc2AlGa
Method: DFT, GGA-PBE
State: optimized geometry

a = 3.3515 Å, b = 3.3515 Å, c = 6.8005 Å
α = 90.00°, β = 90.00°, γ = 90.00°
Fractional coordinates of all 4 atoms:
Sc (0.0000, 0.0000, 0.2455)
Sc (0.0000, 0.0000, 0.7545)
Al (0.5000, 0.5000, 0.5000)
Ga (0.5000, 0.5000, 0.0000)

formation enthalpy at 0 K = -0.52 eV/atom
crystal system = tetragonal

(5)
Material: RbP3Ru
Method: DFT, GGA-PBE
State: optimized geometry

a = 5.1775 Å, b = 5.1775 Å, c = 5.1775 Å
α = 90.00°, β = 90.00°, γ = 90.00°
Fractional coordinates of all 5 atoms:
Rb (0.0000, 0.0000, 0.0000)
P (0.0000, 0.0000, 0.5000)
P (0.0000, 0.5000, 0.0000)
P (0.5000, 0.0000, 0.0000)
Ru (0.5000, 0.5000, 0.5000)

formation enthalpy at 0 K = 2.78 eV/atom
crystal system = cubic

(6)
Material: PmSmErCd
Method: DFT, GGA-PBE
State: optimized geometry

a = 5.5096 Å, b = 5.5096 Å, c = 5.5096 Å
α = 60.00°, β = 60.00°, γ = 60.00°
Fractional coordinates of all 4 atoms:
Pm (0.0000, 0.0000, 0.0000)
Sm (0.5000, 0.5000, 0.5000)
Er (0.2500, 0.2500, 0.2500)
Cd (0.7500, 0.7500, 0.7500)

formation enthalpy at 0 K = -0.05 eV/atom
crystal system = cubic

(7)
Material: CuBiW3
Method: DFT, GGA-PBE
State: optimized geometry

a = 5.0016 Å, b = 5.0016 Å, c = 5.0016 Å
α = 90.00°, β = 90.00°, γ = 90.00°
Fractional coordinates of all 5 atoms:
Cu (0.0000, 0.0000, 0.0000)
Bi (0.5000, 0.5000, 0.5000)
W (0.0000, 0.5000, 0.5000)
W (0.5000, 0.0000, 0.5000)
W (0.5000, 0.5000, 0.0000)

formation enthalpy at 0 K = 3.35 eV/atom
crystal system = cubic

(8)
Material: Hf3AlSe
Method: DFT, GGA-PBE
State: optimized geometry

a = 4.8936 Å, b = 4.8936 Å, c = 4.8936 Å
α = 90.00°, β = 90.00°, γ = 90.00°
Fractional coordinates of all 5 atoms:
Hf (0.0000, 0.0000, 0.5000)
Hf (0.0000, 0.5000, 0.0000)
Hf (0.5000, 0.0000, 0.0000)
Al (0.5000, 0.5000, 0.5000)
Se (0.0000, 0.0000, 0.0000)

raw formation energy = 0.20 eV/atom
crystal system = cubic

Number 1: volume 26.77 Å³/atom. Number 2: volume 16.46 Å³/atom. Number 3: volume 17.96 Å³/atom. Number 4: volume 19.10 Å³/atom. Number 5: volume 27.76 Å³/atom. Number 6: volume 29.57 Å³/atom. Number 7: volume 25.02 Å³/atom. Number 8: volume 23.44 Å³/atom.